Below is a relaxed S crystal, with properties calculated at the PBE level.

Cell lengths 6.7364, 6.8363, 7.6104 Å; angles 85.61, 79.51, 63.90 degrees
Fractional coordinates of all 10 atoms:
1 S 0.0837 0.2350 0.0354
2 S 0.1649 0.6168 0.3819
3 S 0.2126 0.5506 0.8756
4 S 0.2619 0.3134 0.4389
5 S 0.3099 0.1011 0.2264
6 S 0.6901 0.8989 0.7736
7 S 0.7381 0.6866 0.5611
8 S 0.7874 0.4494 0.1244
9 S 0.8351 0.3832 0.6181
10 S 0.9163 0.7650 0.9646

Properties
- SG = P-1
- DFT total energy (eV per atom) = -3.93